No. 1
## RbMg4As3 (PBE)

Data for an optimized crystal structure of RbMg4As3.

Values from the calculation:
- symmetry = No. 166
- E_form (kJ/mol of formula units) = -492

a = 12.6759 Å, b = 12.6759 Å, c = 12.6759 Å
α = 20.23°, β = 20.23°, γ = 20.23°
Atoms (fractional coordinates):
Rb1 0.0000 0.0000 0.0000
Mg1 0.1967 0.1967 0.1967
Mg2 0.4161 0.4161 0.4161
Mg3 0.5839 0.5839 0.5839
Mg4 0.8033 0.8033 0.8033
As1 0.2658 0.2658 0.2658
As2 0.5000 0.5000 0.5000
As3 0.7342 0.7342 0.7342

---

No. 2
## SnB2IrF (PBE)

Data for an optimized crystal structure of SnB2IrF.

Values from the calculation:
- symmetry = No. 123

a = 4.0375 Å, b = 4.0375 Å, c = 5.1659 Å
α = 90.00°, β = 90.00°, γ = 90.00°
Atoms (fractional coordinates):
Sn1 0.0000 0.0000 0.0000
B1 0.0000 0.5000 0.5000
B2 0.5000 0.0000 0.5000
Ir1 0.0000 0.0000 0.5000
F1 0.5000 0.5000 0.0000

---

No. 3
## YNb3P (PBE)

Data for an optimized crystal structure of YNb3P.

Values from the calculation:
- E above lowest polymorph (eV/f.u.) = 0.00
- symmetry = No. 221
- E_form (kJ/mol of formula units) = -9

a = 4.7460 Å, b = 4.7460 Å, c = 4.7460 Å
α = 90.00°, β = 90.00°, γ = 90.00°
Atoms (fractional coordinates):
Y1 0.0000 0.0000 0.0000
Nb1 0.0000 0.5000 0.5000
Nb2 0.5000 0.0000 0.5000
Nb3 0.5000 0.5000 0.0000
P1 0.5000 0.5000 0.5000

---

No. 4
## SrY2AlFe (PBE)

Data for an optimized crystal structure of SrY2AlFe.

Values from the calculation:
- symmetry = No. 123
- E_form (kJ/mol of formula units) = -1

a = 5.2064 Å, b = 5.2064 Å, c = 4.9538 Å
α = 90.00°, β = 90.00°, γ = 90.00°
Atoms (fractional coordinates):
Sr1 0.0000 0.0000 0.0000
Y1 0.0000 0.5000 0.5000
Y2 0.5000 0.0000 0.5000
Al1 0.5000 0.5000 0.0000
Fe1 0.5000 0.5000 0.5000

---

No. 5
## Ho3Si2H (PBE)

Data for an optimized crystal structure of Ho3Si2H.

Values from the calculation:
- symmetry = No. 15

a = 6.9006 Å, b = 6.9006 Å, c = 7.8973 Å
α = 106.60°, β = 106.60°, γ = 48.52°
Atoms (fractional coordinates):
Ho1 0.0275 0.9725 0.7500
Ho2 0.3327 0.3370 0.4171
Ho3 0.3370 0.3327 0.9171
Ho4 0.6630 0.6673 0.0829
Ho5 0.6673 0.6630 0.5829
Ho6 0.9725 0.0275 0.2500
Si1 0.1617 0.1676 0.0820
Si2 0.1676 0.1617 0.5820
Si3 0.8324 0.8383 0.4180
Si4 0.8383 0.8324 0.9180
H1 0.4597 0.5403 0.7500
H2 0.5403 0.4597 0.2500

---

no.,DFT total energy (eV per atom)
1,-3.2995
2,-5.7905
3,-8.4344
4,-5.3647
5,-5.1433